No. 1
PrTeAs after structural relaxation. Source: OQMD via LeMat-Bulk, functional PBE.

POSCAR file:
```
PrTeAs
1.0
7.788 0.000 0.000
0.000 4.168 0.000
0.000 0.000 10.323
As Pr Te
4 4 4
direct
0.593 0.750 0.038
0.093 0.750 0.462
0.907 0.250 0.538
0.407 0.250 0.962
0.226 0.750 0.158
0.726 0.750 0.342
0.274 0.250 0.658
0.774 0.250 0.842
0.908 0.250 0.148
0.408 0.250 0.352
0.592 0.750 0.648
0.092 0.750 0.852
```

Calculated total energy   -65.0 eV per cell

***

No. 2
HfTlCoIr after structural relaxation. Source: OQMD via LeMat-Bulk, functional PBE.

POSCAR file:
```
HfTlCoIr
1.0
1.394 2.571 3.556
-1.695 -0.780 4.209
2.683 -1.839 3.258
Co Hf Ir Tl
1 1 1 1
direct
0.750 0.750 0.750
0.250 0.250 0.250
0.500 0.500 0.500
0.000 0.000 0.000
```

Excess energy over the best structure of this formula in the dataset   353 meV per atom

***

No. 3
BaThSc after structural relaxation. Source: OQMD via LeMat-Bulk, functional PBE.

POSCAR file:
```
BaThSc
1.0
0.000 3.918 3.918
3.918 0.000 3.918
3.918 3.918 0.000
Ba Sc Th
1 1 1
direct
0.250 0.250 0.250
0.000 0.000 0.000
0.750 0.750 0.750
```

Excess energy over the best structure of this formula in the dataset   0 meV per atom

***

No. 4
ScCoBiAu after structural relaxation. Source: OQMD via LeMat-Bulk, functional PBE.

POSCAR file:
```
ScCoBiAu
1.0
0.000 3.372 3.372
3.372 0.000 3.372
3.372 3.372 0.000
Au Bi Co Sc
1 1 1 1
direct
0.750 0.750 0.750
0.000 0.000 0.000
0.250 0.250 0.250
0.500 0.500 0.500
```

Excess energy over the best structure of this formula in the dataset   28 meV per atom

***

No. 5
ErOsPb after structural relaxation. Source: OQMD via LeMat-Bulk, functional PBE.

POSCAR file:
```
ErOsPb
1.0
-1.744 -3.831 -2.127
-4.425 0.017 -1.630
-0.801 0.042 -4.647
Er Os Pb
1 1 1
direct
0.250 0.250 0.250
0.750 0.750 0.750
0.000 0.000 0.000
```

Calculated total energy   -17.6 eV per cell

***

No. 6
RbLu2CuSeS3 after structural relaxation. Source: OQMD via LeMat-Bulk, functional PBE.

POSCAR file:
```
RbLu2CuSeS3
1.0
0.723 0.300 7.079
-1.565 -3.923 -5.735
13.323 -3.547 -1.210
Cu Lu Rb S Se
2 4 2 6 2
direct
0.827 0.173 0.250
0.173 0.827 0.750
0.366 0.634 0.059
0.366 0.634 0.441
0.634 0.366 0.559
0.634 0.366 0.941
0.116 0.884 0.250
0.884 0.116 0.750
0.000 0.000 0.000
0.743 0.257 0.104
0.743 0.257 0.396
0.000 0.000 0.500
0.257 0.743 0.604
0.257 0.743 0.896
0.430 0.570 0.250
0.570 0.430 0.750
```

Calculated total energy   -84.4 eV per cell

***

No. 7
Cu2BiOs after structural relaxation. Source: OQMD via LeMat-Bulk, functional PBE.

POSCAR file:
```
Cu2BiOs
1.0
0.000 3.188 3.188
3.188 0.000 3.188
3.188 3.188 0.000
Bi Cu Os
1 2 1
direct
0.000 0.000 0.000
0.250 0.250 0.250
0.500 0.500 0.500
0.750 0.750 0.750
```

Calculated total energy   -20.1 eV per cell

***

No. 8
YHo2Co7Ni2 after structural relaxation. Source: OQMD via LeMat-Bulk, functional PBE.

POSCAR file:
```
YHo2Co7Ni2
1.0
-6.897 -1.989 4.795
-6.770 2.912 4.496
-8.593 0.271 0.778
Co Ho Ni Y
7 2 2 1
direct
0.582 0.582 0.081
0.919 0.418 0.418
0.418 0.919 0.418
0.500 0.500 0.500
0.582 0.081 0.582
0.081 0.582 0.582
0.418 0.418 0.919
0.140 0.140 0.140
0.860 0.860 0.860
0.333 0.333 0.333
0.667 0.667 0.667
0.000 0.000 0.000
```

ΔH_f (0 K)   -227 meV/atom

***

Result set for M_tot: 0.009; 1.576; 0.229; 0.597; 1.287; 0.010; 0.000; 8.172 Bohr magnetons per cell, one per record in the order listed.